Material: SmHoSnPb
Method: DFT, PBE
State: optimized geometry

a = 5.4408 Å, b = 5.4408 Å, c = 5.4408 Å
α = 60.00°, β = 60.00°, γ = 60.00°
With the nearest neighbours (Å) after each atom.
Positions (direct):
Sm: 0.0000 0.0000 0.0000  4 Sn 3.33, 4 Pb 3.33
Ho: 0.5000 0.5000 0.5000  4 Pb 3.33, 4 Sn 3.33
Sn: 0.7500 0.7500 0.7500  4 Ho 3.33, 4 Sm 3.33
Pb: 0.2500 0.2500 0.2500  4 Ho 3.33, 4 Sm 3.33

V: 113.9 Å³/cell
formation energy from the elements: -0.470 eV per atom
crystal system: cubic

Material: Tb3Sm2Ho6Pb
Method: DFT, PBE
State: optimized geometry

a = 6.0941 Å, b = 6.0941 Å, c = 11.7096 Å
α = 94.99°, β = 94.99°, γ = 120.01°
With the nearest neighbours (Å) after each atom.
Positions (direct):
Tb: 0.0000 0.0000 0.0000  6 Tb 3.51-3.52, 6 Ho 3.52-3.54
Tb: 0.3326 0.6674 0.0000  6 Tb 3.51-3.53, 6 Ho 3.52-3.55
Tb: 0.6674 0.3326 0.0000  6 Tb 3.51-3.53, 6 Ho 3.52-3.55
Sm: 0.1662 0.8338 0.5000  3 Sm 3.51-3.52, 3 Pb 3.52, 6 Ho 3.53-3.54
Sm: 0.8338 0.1662 0.5000  3 Sm 3.51-3.52, 3 Pb 3.52, 6 Ho 3.53-3.54
Ho: 0.0900 0.4176 0.2507  6 Ho 3.46-3.55, 1 Pb 3.50, 3 Tb 3.52-3.55, 2 Sm 3.53
Ho: 0.2552 0.2552 0.7506  6 Ho 3.46-3.55, 1 Pb 3.52, 3 Tb 3.52-3.54, 2 Sm 3.54
Ho: 0.4176 0.0900 0.2507  6 Ho 3.46-3.55, 1 Pb 3.50, 3 Tb 3.52-3.55, 2 Sm 3.53
Ho: 0.5824 0.9100 0.7493  6 Ho 3.46-3.55, 1 Pb 3.50, 3 Tb 3.52-3.55, 2 Sm 3.53
Ho: 0.7448 0.7448 0.2494  6 Ho 3.46-3.55, 1 Pb 3.52, 3 Tb 3.52-3.54, 2 Sm 3.54
Ho: 0.9100 0.5824 0.7493  6 Ho 3.46-3.55, 1 Pb 3.50, 3 Tb 3.52-3.55, 2 Sm 3.53
Pb: 0.5000 0.5000 0.5000  6 Ho 3.50-3.52, 6 Sm 3.52

V: 370.8 Å³/cell
formation energy from the elements: -0.063 eV per atom
crystal system: monoclinic

| no. | electronic total energy (eV per atom) |
| --- | --- |
| 1 | -4.722 |
| 2 | -4.605 |